1.
DFT (PBE) results for a relaxed structure of ZnFeRh2.

Summary:
Total moment in μB/atom: 0.736

Cell and atoms, written as CIF:
```
data_ZnFeRh2
_chemical_formula_sum 'Zn1 Fe1 Rh2'
_space_group_name_H-M_alt 'P 1'
_space_group_IT_number 1
_cell_length_a 2.666
_cell_length_b 2.666
_cell_length_c 8.795
_cell_angle_alpha 90.00
_cell_angle_beta 90.00
_cell_angle_gamma 117.47
loop_
_space_group_symop_operation_xyz
'x,y,z'
loop_
_atom_site_label
_atom_site_fract_x
_atom_site_fract_y
_atom_site_fract_z
Zn1 0.000 0.000 0.000
Fe1 0.500 0.500 0.246
Rh1 0.000 0.000 0.486
Rh2 0.500 0.500 0.753
```

---

2.
DFT (PBE) results for a relaxed structure of ZnFeRh2.

Summary:
Total moment in μB/atom: 1.094

Cell and atoms, written as CIF:
```
data_ZnFeRh2
_chemical_formula_sum 'Zn1 Fe1 Rh2'
_space_group_name_H-M_alt 'P 1'
_space_group_IT_number 1
_cell_length_a 3.027
_cell_length_b 3.027
_cell_length_c 5.977
_cell_angle_alpha 90.00
_cell_angle_beta 90.00
_cell_angle_gamma 90.00
loop_
_space_group_symop_operation_xyz
'x,y,z'
loop_
_atom_site_label
_atom_site_fract_x
_atom_site_fract_y
_atom_site_fract_z
Zn1 0.000 0.000 0.000
Fe1 0.000 0.000 0.500
Rh1 0.500 0.500 0.256
Rh2 0.500 0.500 0.744
```

---

3.
DFT (PBE) results for a relaxed structure of Zn2FeRh9.

Summary:
Total moment in μB/atom: 0.368

Cell and atoms, written as CIF:
```
data_Zn2FeRh9
_chemical_formula_sum 'Zn2 Fe1 Rh9'
_space_group_name_H-M_alt 'P 1'
_space_group_IT_number 1
_cell_length_a 3.824
_cell_length_b 3.824
_cell_length_c 11.494
_cell_angle_alpha 90.00
_cell_angle_beta 90.00
_cell_angle_gamma 90.00
loop_
_space_group_symop_operation_xyz
'x,y,z'
loop_
_atom_site_label
_atom_site_fract_x
_atom_site_fract_y
_atom_site_fract_z
Zn1 0.000 0.000 0.167
Zn2 0.000 0.000 0.833
Fe1 0.000 0.000 0.500
Rh1 0.000 0.500 0.000
Rh2 0.000 0.500 0.337
Rh3 0.000 0.500 0.663
Rh4 0.500 0.000 0.000
Rh5 0.500 0.000 0.337
Rh6 0.500 0.000 0.663
Rh7 0.500 0.500 0.168
Rh8 0.500 0.500 0.500
Rh9 0.500 0.500 0.832
```

---

Asked for DFT formation energy across the records above, the calculation gives 0.068, -0.269, -0.094 eV/atom in order.